[1]
VASP calculation (GGA-PBE) on a geometry-optimized CoCuPb2 structure.

Lattice parameters (Å, degrees): 3.270 3.270 7.892 90.00 90.00 89.98
Last column: magnetic moment on the atom in μB.
Element x y z (fractional)
Co 0.000 0.000 0.555  1.15
Cu 0.500 0.500 0.693  0.01
Pb 0.000 0.000 0.919  -0.01
Pb 0.500 0.500 0.333  -0.04

The density of states at the Fermi level is 3.7 states/eV/cell. The crystal system is tetragonal. The value obtained for the theoretical density is 10567 kg/m³. Its formation energy is 1.29 eV per formula unit. Its relative energy among the computed polymorphs is 0.018 eV per atom.

[2]
VASP calculation (GGA-PBE) on a geometry-optimized Ga2ICl structure.

Lattice parameters (Å, degrees): 3.890 3.890 7.579 90.00 90.00 90.00
Element x y z (fractional)
I 0.500 0.500 0.500
Ga 0.000 0.000 0.774
Ga 0.000 0.000 0.226
Cl 0.500 0.500 0.000

The crystal system is tetragonal. The value obtained for the theoretical density is 4369 kg/m³. Its relative energy among the computed polymorphs is 0.112 eV per atom. The uncorrected formation energy comes out at -0.4126 eV/atom.

[3]
VASP calculation (GGA-PBE) on a geometry-optimized YCo4Pt structure.

Lattice parameters (Å, degrees): 4.923 4.923 4.923 60.00 60.00 60.00
Last column: magnetic moment on the atom in μB.
Element x y z (fractional)
Y 0.000 0.000 0.000  -0.21
Co 0.872 0.376 0.376  1.64
Co 0.376 0.376 0.872  1.64
Co 0.376 0.872 0.376  1.64
Co 0.376 0.376 0.376  1.64
Pt 0.750 0.750 0.750  0.30

The density of states at the Fermi level is 6.8 states/eV/cell. The crystal system is cubic. The value obtained for the theoretical density is 10231 kg/m³. Its formation energy is -1.32 eV per formula unit.

> Number 3 is which compound?

YCo4Pt